Record 1
Density functional theory data (PBEsol) for a relaxed structure of LuMg3.

Values from the calculation:
Space group ... Pm-3m
ΔE_f ... -13 meV/atom
Calculated total energy ... -10.1 eV for the cell shown

a b c (Å): 4.571 4.571 4.571
angles (deg): 90.00 90.00 90.00
Positions (direct):
Lu  0.000  0.000  0.000
Mg  0.000  0.500  0.500
Mg  0.500  0.000  0.500
Mg  0.500  0.500  0.000


Record 2
Density functional theory data (PBEsol) for a relaxed structure of LuMg.

Values from the calculation:
Space group ... Pm-3m
ΔE_f ... -29 meV/atom
Calculated total energy ... -6.6 eV for the cell shown

a b c (Å): 3.685 3.685 3.685
angles (deg): 90.00 90.00 90.00
Positions (direct):
Lu  0.000  0.000  0.000
Mg  0.500  0.500  0.500


Record 3
Density functional theory data (PBEsol) for a relaxed structure of LuMg3.

Values from the calculation:
Space group ... P6_3/mmc
ΔE_f ... -20 meV/atom
Calculated total energy ... -20.2 eV for the cell shown

a b c (Å): 6.539 6.539 5.126
angles (deg): 90.00 90.00 120.00
Positions (direct):
Lu  0.333  0.667  0.250
Lu  0.667  0.333  0.750
Mg  0.165  0.330  0.750
Mg  0.165  0.835  0.750
Mg  0.330  0.165  0.250
Mg  0.670  0.835  0.750
Mg  0.835  0.165  0.250
Mg  0.835  0.670  0.250